(1)
# PmHfNiIr GGA-PBE relaxed
data_PmHfNiIr
_chemical_formula_sum 'Pm1 Hf1 Ni1 Ir1'
_cell_length_a 4.764
_cell_length_b 4.764
_cell_length_c 4.764
_cell_angle_alpha 60.00
_cell_angle_beta 60.00
_cell_angle_gamma 60.00
_space_group_name_H-M_alt 'P 1'
_space_group_IT_number 1
_space_group_name_Hall 'P 1'
loop_
_atom_site_label
_atom_site_fract_x
_atom_site_fract_y
_atom_site_fract_z
Pm1 0.750 0.750 0.750
Ir1 0.000 0.000 0.000
Ni1 0.500 0.500 0.500
Hf1 0.250 0.250 0.250
# Energy in eV for the cell shown: -31.17


(2)
# HfNiIrPt GGA-PBE relaxed
data_HfNiIrPt
_chemical_formula_sum 'Hf1 Ni1 Ir1 Pt1'
_cell_length_a 3.850
_cell_length_b 3.914
_cell_length_c 4.007
_cell_angle_alpha 90.00
_cell_angle_beta 90.00
_cell_angle_gamma 90.00
_space_group_name_H-M_alt 'P 1'
_space_group_IT_number 1
_space_group_name_Hall 'P 1'
loop_
_atom_site_label
_atom_site_fract_x
_atom_site_fract_y
_atom_site_fract_z
Ni1 0.500 0.500 0.000
Pt1 0.000 0.000 0.000
Ir1 0.000 0.500 0.500
Hf1 0.500 0.000 0.500
# Energy in eV for the cell shown: -33.93